The following is a DFT calculation (PBE+U) of crystalline FeTe2O6 at its relaxed geometry.

Lattice parameters (Å, degrees): 8.764 10.814 5.293 90.00 102.70 90.00
Space group C2/c (No. 15)
Symmetry-distinct sites (fractional):
1 Fe 0.000 0.080 0.250 (multiplicity 4)
2 Te 0.168 0.379 0.162 (multiplicity 8)
3 O 0.088 0.400 0.477 (multiplicity 8)
4 O 0.126 0.059 0.615 (multiplicity 8)
5 O 0.152 0.203 0.164 (multiplicity 8)

- VASP energy (eV/atom) = -5.6106
- crystal system = monoclinic